# 1
Entry from OQMD: a relaxed structure of Zr4Pd2O (GGA-PBE).

a b c (Å): 12.549 12.549 12.549
angles (deg): 90.00 90.00 90.00
Space group Fd-3m (No. 227, origin choice 2)
One atom of each set of equivalent atoms:
1 Zr 0.000 0.000 0.000 [16 per cell]
2 Zr 0.056 0.375 0.875 [48 per cell]
3 Pd 0.035 0.035 0.215 [32 per cell]
4 O 0.000 0.000 0.500 [16 per cell]

# 2
Entry from OQMD: a relaxed structure of TmTeO3 (GGA-PBE).

a b c (Å): 6.0110 6.0110 13.4486
angles (deg): 90.00 90.00 120.00
Space group R-3c (No. 167, hexagonal axes)
One atom of each set of equivalent atoms:
1 Tm 0.0000 0.0000 0.0000 [6 per cell]
2 Te 0.0000 0.0000 0.2500 [6 per cell]
3 O 0.0000 0.3509 0.2500 [18 per cell]

# 3
Entry from OQMD: a relaxed structure of TbPmSb2 (GGA-PBE).

a b c (Å): 4.443 4.443 6.284
angles (deg): 90.00 90.00 90.00
Space group P4/mmm (No. 123)
One atom of each set of equivalent atoms:
1 Tb 0.000 0.000 0.000 [1 per cell]
2 Pm 0.500 0.500 0.500 [1 per cell]
3 Sb 0.000 0.000 0.500 [1 per cell]
4 Sb 0.500 0.500 0.000 [1 per cell]

Number 1: raw total energy -8.2264 eV per atom. Number 2: raw total energy -6.4887 eV per atom. Number 3: raw total energy -5.5687 eV per atom.